# AgIr2Pb

Crystalline AgIr2Pb at its relaxed geometry (PBE, Alexandria via LeMat-Bulk).

It has space group P4/mmm (No. 123), with a = 4.1688 Å, b = 4.1688 Å, c = 4.0097 Å, α = 90.00°, β = 90.00° and γ = 90.00°. The inequivalent atoms are Ag at (0.0000, 0.0000, 0.0000), Ir at (0.0000, 0.5000, 0.5000) and Pb at (0.5000, 0.5000, 0.0000).

The value obtained for the formation energy is 0.508 eV per atom.